Density functional theory data (PBE) for a relaxed Sr2PaTe5Au crystal.

Lattice parameters (Å, degrees): 4.454 10.097 13.713 90.00 90.00 102.74
Element x y z (fractional)
Sr 0.886 0.772 0.825
Sr 0.113 0.225 0.689
Sr 0.114 0.228 0.325
Sr 0.887 0.775 0.189
Pa 0.805 0.610 0.515
Pa 0.195 0.390 0.015
Te 0.350 0.700 0.009
Te 0.705 0.410 0.859
Te 0.501 0.001 0.767
Te 0.295 0.591 0.668
Te 0.952 0.905 0.552
Te 0.650 0.300 0.509
Te 0.295 0.590 0.359
Te 0.499 0.999 0.267
Te 0.705 0.409 0.168
Te 0.048 0.095 0.052
Au 0.575 0.149 0.939
Au 0.425 0.851 0.439

Results
* magnetic moment: 0.24 μB per cell
* formation energy from raw total energies: -1077 meV per atom
* total energy: -4.6149 eV per atom
* space-group type: Cmc2_1 (36)


Density functional theory data (PBE) for a relaxed Pa2TaAu crystal.

Lattice parameters (Å, degrees): 3.043 3.043 9.515 90.00 90.00 90.00
Element x y z (fractional)
Pa 0.000 0.000 0.750
Pa 0.000 0.000 0.250
Au 0.500 0.500 0.500
Ta 0.500 0.500 0.000

Results
* magnetic moment: 0.00 μB per cell
* total energy: -8.5446 eV per atom
* ΔH_f (0 K): -0.06 eV/f.u.
* space-group type: P4/mmm (123)


Density functional theory data (PBE) for a relaxed Pa2TaAu crystal.

Lattice parameters (Å, degrees): 3.038 3.038 11.490 82.40 82.40 60.00
Element x y z (fractional)
Pa 0.089 0.089 0.733
Pa 0.911 0.911 0.267
Au 0.000 0.000 0.000
Ta 0.500 0.500 0.500

Results
* magnetic moment: 0.00 μB per cell
* total energy: -8.2845 eV per atom
* ΔH_f (0 K): 0.98 eV/f.u.
* space-group type: R-3m (166)


Density functional theory data (PBE) for a relaxed TbPaAu crystal.

Lattice parameters (Å, degrees): 4.982 4.982 6.819 90.00 90.00 120.00
Element x y z (fractional)
Tb 0.000 0.000 0.772
Tb 0.000 0.000 0.228
Au 0.333 0.667 0.950
Au 0.667 0.333 0.050
Pa 0.667 0.333 0.524
Pa 0.333 0.667 0.476

Results
* magnetic moment: 0.20 μB per cell
* total energy: -5.8616 eV per atom
* ΔH_f (0 K): -0.18 eV/f.u.
* space-group type: P-3m1 (164)


Density functional theory data (PBE) for a relaxed TbPaAu crystal.

Lattice parameters (Å, degrees): 3.320 5.044 5.044 120.00 90.00 90.00
Element x y z (fractional)
Tb 0.653 0.667 0.333
Pa 0.057 0.000 0.000
Au 0.290 0.333 0.667

Results
* magnetic moment: 0.44 μB per cell
* total energy: -5.8129 eV per atom
* ΔH_f (0 K): -0.04 eV/f.u.
* space-group type: P3m1 (156)


Density functional theory data (PBE) for a relaxed TbPaAu crystal.

Lattice parameters (Å, degrees): 3.359 3.359 7.081 103.72 103.72 90.00
Element x y z (fractional)
Tb 0.318 0.318 0.636
Pa 0.012 0.012 0.023
Au 0.670 0.670 0.340

Results
* magnetic moment: 0.25 μB per cell
* total energy: -6.0004 eV per atom
* ΔH_f (0 K): -0.60 eV/f.u.
* space-group type: I4mm (107)


Density functional theory data (PBE) for a relaxed TbPaTlAu crystal.

Lattice parameters (Å, degrees): 5.262 5.262 5.262 60.00 60.00 60.00
Element x y z (fractional)
Tb 0.250 0.250 0.250
Tl 0.000 0.000 0.000
Pa 0.750 0.750 0.750
Au 0.500 0.500 0.500

Results
* magnetic moment: 2.13 μB per cell
* total energy: -5.0790 eV per atom
* ΔH_f (0 K): -0.55 eV/f.u.
* space-group type: F-43m (216)


Density functional theory data (PBE) for a relaxed TbPaZnAu crystal.

Lattice parameters (Å, degrees): 5.089 5.089 5.089 60.00 60.00 60.00
Element x y z (fractional)
Tb 0.250 0.250 0.250
Zn 0.000 0.000 0.000
Pa 0.750 0.750 0.750
Au 0.500 0.500 0.500

Results
* magnetic moment: 1.61 μB per cell
* total energy: -4.8686 eV per atom
* ΔH_f (0 K): -0.80 eV/f.u.
* space-group type: F-43m (216)